The following is a PBE with a Hubbard U calculation of a relaxed MnHgF2 crystal, from the Alexandria database.

Summary:
Total magnetic moment ... 1.250 μB per atom
Excess energy over the best structure of this formula in the dataset ... 746 meV per atom
Space group ... Fm-3m (225)

Cell lengths 4.4556, 4.4556, 4.4556 Å; angles 60.00, 60.00, 60.00 degrees
Each line ends with the local moment (μB).
Fractional positions:
Mn 0.0000 0.0000 0.0000  4.69
Hg 0.5000 0.5000 0.5000  0.00
F 0.2500 0.2500 0.2500  0.03
F 0.7500 0.7500 0.7500  0.03